Density functional theory data (PBE+U) for a relaxed SrCo2P2O8 crystal. Values from VASP.

Output
As for the space group: P-1. Its total energy is -6.7890 eV per atom. The spin magnetization is 0.000 μB per atom.

Geometry as Quantum ESPRESSO input:
```
&SYSTEM
  ibrav = 0, nat = 26, ntyp = 4
/
ATOMIC_SPECIES
Sr 87.62 Sr.upf
Co 58.93 Co.upf
P 30.97 P.upf
O 16.00 O.upf
CELL_PARAMETERS angstrom
4.986 0.000 0.000
-0.481 8.602 0.000
-2.050 -3.915 8.095
ATOMIC_POSITIONS crystal
Sr 0.226 0.232 0.053
Sr 0.774 0.768 0.947
Co 0.161 0.419 0.707
Co 0.379 0.105 0.411
Co 0.621 0.895 0.589
Co 0.839 0.581 0.293
P 0.107 0.782 0.690
P 0.305 0.707 0.186
P 0.695 0.293 0.814
P 0.893 0.218 0.310
O 0.005 0.619 0.707
O 0.015 0.335 0.844
O 0.025 0.939 0.819
O 0.067 0.230 0.480
O 0.356 0.754 0.052
O 0.422 0.796 0.702
O 0.426 0.866 0.360
O 0.437 0.553 0.200
O 0.563 0.447 0.800
O 0.574 0.134 0.640
O 0.578 0.204 0.298
O 0.644 0.246 0.948
O 0.933 0.770 0.520
O 0.975 0.061 0.181
O 0.985 0.665 0.156
O 0.995 0.381 0.293
```